1.
U2InOs PBE-GGA relaxed; total DFT energy (no corrections) = -35.30 eV for the cell shown; calculated formation energy = 0.311 eV/atom; energy above the most stable polymorph in this dataset = 4.49 kcal/mol of atoms; volume = 104 Å³ per cell; space-group type = No. 166; D(E_F) = 13.09 states/eV/cell
1.0
3.901 0.000 0.000
1.950 3.378 0.000
1.950 1.126 7.909
U Os In
2 1 1
Cartesian
1.950 1.126 1.532
5.851 3.378 6.377
0.000 0.000 0.000
3.901 2.252 3.955

---

2.
VIn2Os2 PBE-GGA relaxed; total DFT energy (no corrections) = -66.48 eV for the cell shown; calculated formation energy = 0.763 eV/atom; volume = 179 Å³ per cell; space-group type = No. 127; D(E_F) = 12.56 states/eV/cell
1.0
-1.626 1.107 -7.418
-0.560 -7.587 -1.010
-2.960 0.129 0.668
V In Os
2 4 4
Cartesian
0.000 0.000 0.000
-1.093 -3.240 -4.214
-1.108 -0.322 -4.847
-1.077 -6.158 -3.580
-1.761 -3.860 -7.057
-0.424 -2.619 -1.371
-3.023 -1.548 -6.193
-2.122 -4.802 -1.567
-2.116 -0.822 -2.314
-3.029 -5.528 -5.446

---

3.
V2InOs2 PBE-GGA relaxed; total DFT energy (no corrections) = -86.55 eV for the cell shown; calculated formation energy = 0.032 eV/atom; energy above the most stable polymorph in this dataset = 0.00 kcal/mol of atoms; volume = 158 Å³ per cell; space-group type = No. 127; D(E_F) = 9.61 states/eV/cell
1.0
-1.434 7.234 -0.873
-7.267 -1.354 0.711
0.206 0.382 2.832
Os V In
4 4 2
Cartesian
-5.842 5.416 -0.307
-1.873 4.398 -0.458
-2.859 0.464 0.145
-6.828 1.482 0.296
-6.965 3.802 1.442
-1.530 2.460 1.228
-3.598 5.825 0.924
-4.897 0.437 1.746
-4.350 2.940 -0.081
0.000 0.000 0.000

---

4.
V2InOs2 PBE-GGA relaxed; total DFT energy (no corrections) = -85.58 eV for the cell shown; calculated formation energy = 0.129 eV/atom; energy above the most stable polymorph in this dataset = 2.24 kcal/mol of atoms; volume = 159 Å³ per cell; space-group type = No. 127; D(E_F) = 9.05 states/eV/cell
1.0
7.486 0.000 0.000
0.000 7.486 0.000
0.000 0.000 2.839
Os In V
4 2 4
Cartesian
1.073 4.816 1.419
2.670 1.073 1.419
4.816 6.413 1.419
6.413 2.670 1.419
3.743 3.743 0.000
0.000 0.000 0.000
1.066 2.677 0.000
6.420 4.809 0.000
4.809 1.066 0.000
2.677 6.420 0.000

---

5.
V3InOs PBE-GGA relaxed; total DFT energy (no corrections) = -36.91 eV for the cell shown; calculated formation energy = 0.883 eV/atom; energy above the most stable polymorph in this dataset = 0.00 kcal/mol of atoms; volume = 99 Å³ per cell; space-group type = No. 221; D(E_F) = 6.29 states/eV/cell
1.0
4.620 0.000 0.000
0.000 4.620 0.000
0.000 0.000 4.620
V Os In
3 1 1
Cartesian
2.310 0.000 0.000
0.000 0.000 2.310
0.000 2.310 0.000
0.000 0.000 0.000
2.310 2.310 2.310

---

6.
YV2InOs PBE-GGA relaxed; total DFT energy (no corrections) = -31.42 eV for the cell shown; calculated formation energy = 1.449 eV/atom; volume = 133 Å³ per cell; space-group type = No. 123; D(E_F) = 5.51 states/eV/cell
1.0
5.096 0.000 0.000
0.000 5.106 0.000
0.000 0.000 5.096
V Y In Os
2 1 1 1
Cartesian
0.000 0.000 2.548
2.548 0.000 0.000
2.548 2.553 2.548
0.000 0.000 0.000
0.000 2.553 0.000

---

7.
InOsW2 PBE-GGA relaxed; total DFT energy (no corrections) = -72.05 eV for the cell shown; calculated formation energy = 0.963 eV/atom; volume = 153 Å³ per cell; space-group type = No. 122; D(E_F) = 10.43 states/eV/cell
1.0
7.536 0.000 0.000
0.000 7.536 0.000
3.768 3.768 2.694
W Os In
4 2 2
Cartesian
6.031 1.884 0.673
9.420 9.799 2.020
1.505 5.652 0.673
5.652 5.273 2.020
0.000 0.000 0.000
7.536 3.768 1.347
3.768 7.536 1.347
3.768 3.768 0.000

---

8.
InOs2W PBE-GGA relaxed; total DFT energy (no corrections) = -36.29 eV for the cell shown; calculated formation energy = 0.465 eV/atom; volume = 64 Å³ per cell; space-group type = No. 123; D(E_F) = 2.05 states/eV/cell
1.0
-1.959 -2.159 1.134
1.431 -2.948 -3.140
3.236 -1.448 2.834
Os In W
2 1 1
Cartesian
2.333 -2.198 -0.153
0.000 0.000 0.000
0.638 -1.803 1.984
-0.264 -2.553 -1.003

---

- Which formula does entry 1 have?
  U2InOs